Run a
A relaxed Ti2CuGe2 crystal. Source: the Alexandria database, functional PBE.

Values from the calculation:
**V**: 155 Å³ per cell

Cell: 6.4198 6.4198 3.7644 Å, 90.00 90.00 90.00°
Closest atoms and distances in Å follow each position.
Atoms (fractional coordinates):
Ti1 0.1733 0.3267 0.0000  6 Ge 2.56-2.74
Ti2 0.3267 0.8267 0.0000  6 Ge 2.56-2.74
Ti3 0.6733 0.1733 0.0000  6 Ge 2.56-2.74
Ti4 0.8267 0.6733 0.0000  6 Ge 2.56-2.74
Cu1 0.0000 0.0000 0.5000  4 Ge 2.50
Cu2 0.5000 0.5000 0.5000  4 Ge 2.50
Ge1 0.1353 0.6353 0.5000  1 Ge 2.46, 2 Cu 2.50, 6 Ti 2.56-2.74
Ge2 0.3647 0.1353 0.5000  1 Ge 2.46, 2 Cu 2.50, 6 Ti 2.56-2.74
Ge3 0.6353 0.8647 0.5000  1 Ge 2.46, 2 Cu 2.50, 6 Ti 2.56-2.74
Ge4 0.8647 0.3647 0.5000  1 Ge 2.46, 2 Cu 2.50, 6 Ti 2.56-2.74

Run b
A relaxed Ti2CuGe2 crystal. Source: the Alexandria database, functional PBE.

Values from the calculation:
**V**: 166 Å³ per cell

Cell: 6.7879 6.7879 3.6002 Å, 90.00 90.00 90.00°
Closest atoms and distances in Å follow each position.
Atoms (fractional coordinates):
Ti1 0.1358 0.3642 0.0000  6 Ge 2.58-2.77, 1 Ti 2.61, 2 Cu 2.64
Ti2 0.3642 0.8642 0.0000  6 Ge 2.58-2.77, 1 Ti 2.61, 2 Cu 2.64
Ti3 0.6358 0.1358 0.0000  6 Ge 2.58-2.77, 1 Ti 2.61, 2 Cu 2.64
Ti4 0.8642 0.6358 0.0000  6 Ge 2.58-2.77, 1 Ti 2.61, 2 Cu 2.64
Cu1 0.0000 0.0000 0.0000  4 Ti 2.64
Cu2 0.5000 0.5000 0.0000  4 Ti 2.64
Ge1 0.1716 0.6716 0.5000  6 Ti 2.58-2.77
Ge2 0.3284 0.1716 0.5000  6 Ti 2.58-2.77
Ge3 0.6716 0.8284 0.5000  6 Ti 2.58-2.77
Ge4 0.8284 0.3284 0.5000  6 Ti 2.58-2.77

Of them, run b has the lowest stability.

Run a
A relaxed Tl3CuGe crystal. Source: the Alexandria database, functional PBE.

Values from the calculation:
**V**: 141 Å³ per cell

Cell: 5.2013 5.2013 5.2013 Å, 90.00 90.00 90.00°
Closest atoms and distances in Å follow each position.
Atoms (fractional coordinates):
Tl1 0.0000 0.0000 0.5000  2 Cu 2.60
Tl2 0.0000 0.5000 0.0000  2 Cu 2.60
Tl3 0.5000 0.0000 0.0000  2 Cu 2.60
Cu1 0.0000 0.0000 0.0000  6 Tl 2.60
Ge1 0.5000 0.5000 0.5000  12 Tl 3.68

Run b
A relaxed Tl3CuGe crystal. Source: the Alexandria database, functional PBE.

Values from the calculation:
**V**: 175 Å³ per cell

Cell: 5.5911 5.5911 5.5911 Å, 90.00 90.00 90.00°
Closest atoms and distances in Å follow each position.
Atoms (fractional coordinates):
Tl1 0.0000 0.0000 0.5000  2 Ge 2.80
Tl2 0.0000 0.5000 0.0000  2 Ge 2.80
Tl3 0.5000 0.0000 0.0000  2 Ge 2.80
Cu1 0.5000 0.5000 0.5000  12 Tl 3.95
Ge1 0.0000 0.0000 0.0000  6 Tl 2.80

Of them, run b has the lowest stability.

Run a
A relaxed TlCu3Ge crystal. Source: the Alexandria database, functional PBE.

Values from the calculation:
**V**: 115 Å³ per cell

Cell: 4.8587 4.8587 4.8587 Å, 90.00 90.00 90.00°
Closest atoms and distances in Å follow each position.
Atoms (fractional coordinates):
Tl1 0.0000 0.0000 0.0000  6 Cu 2.43
Cu1 0.0000 0.0000 0.5000  2 Tl 2.43
Cu2 0.0000 0.5000 0.0000  2 Tl 2.43
Cu3 0.5000 0.0000 0.0000  2 Tl 2.43
Ge1 0.5000 0.5000 0.5000  12 Cu 3.44

Run b
A relaxed TlCu3Ge crystal. Source: the Alexandria database, functional PBE.

Values from the calculation:
**V**: 100 Å³ per cell

Cell: 4.6369 4.6369 4.6369 Å, 90.00 90.00 90.00°
Closest atoms and distances in Å follow each position.
Atoms (fractional coordinates):
Tl1 0.0000 0.0000 0.0000  12 Cu 3.28
Cu1 0.0000 0.5000 0.5000  2 Ge 2.32
Cu2 0.5000 0.0000 0.5000  2 Ge 2.32
Cu3 0.5000 0.5000 0.0000  2 Ge 2.32
Ge1 0.5000 0.5000 0.5000  6 Cu 2.32

Of them, run a has the lowest stability.

Run a
A relaxed TlCu2Ge2 crystal. Source: the Alexandria database, functional PBE.

Values from the calculation:
**V**: 95 Å³ per cell

Cell: 6.0848 6.0848 6.0848 Å, 139.30 139.30 58.92°
Closest atoms and distances in Å follow each position.
Atoms (fractional coordinates):
Tl1 0.0000 0.0000 0.0000  8 Ge 3.28, 8 Cu 3.39
Cu1 0.2500 0.7500 0.5000  4 Ge 2.49
Cu2 0.7500 0.2500 0.5000  4 Ge 2.49
Ge1 0.3740 0.3740 0.0000  4 Cu 2.49, 1 Ge 2.67
Ge2 0.6260 0.6260 0.0000  4 Cu 2.49, 1 Ge 2.67

Run b
A relaxed TlCu2Ge2 crystal. Source: the Alexandria database, functional PBE.

Values from the calculation:
**V**: 182 Å³ per cell

Cell: 8.0803 8.0803 2.7874 Å, 90.00 90.00 90.00°
Closest atoms and distances in Å follow each position.
Atoms (fractional coordinates):
Tl1 0.0000 0.0000 0.0000  2 Tl 2.79
Tl2 0.5000 0.5000 0.0000  2 Tl 2.79
Cu1 0.1523 0.3477 0.5000  6 Ge 2.71-2.81, 2 Cu 2.79
Cu2 0.3477 0.8477 0.5000  6 Ge 2.71-2.81, 2 Cu 2.79
Cu3 0.6523 0.1523 0.5000  6 Ge 2.71-2.81, 2 Cu 2.79
Cu4 0.8477 0.6523 0.5000  6 Ge 2.71-2.81, 2 Cu 2.79
Ge1 0.1347 0.6347 0.0000  6 Cu 2.71-2.81, 2 Ge 2.79
Ge2 0.3653 0.1347 0.0000  6 Cu 2.71-2.81, 2 Ge 2.79
Ge3 0.6347 0.8653 0.0000  6 Cu 2.71-2.81, 2 Ge 2.79
Ge4 0.8653 0.3653 0.0000  6 Cu 2.71-2.81, 2 Ge 2.79

Run c
A relaxed TlCu2Ge2 crystal. Source: the Alexandria database, functional PBE.

Values from the calculation:
**V**: 181 Å³ per cell

Cell: 7.8678 7.8678 2.9267 Å, 90.00 90.00 90.00°
Closest atoms and distances in Å follow each position.
Atoms (fractional coordinates):
Tl1 0.0000 0.0000 0.0000  2 Tl 2.93, 4 Cu 3.01
Tl2 0.5000 0.5000 0.0000  2 Tl 2.93, 4 Cu 3.01
Cu1 0.1477 0.3523 0.0000  6 Ge 2.69-2.78, 2 Cu 2.93, 2 Tl 3.01
Cu2 0.3523 0.8523 0.0000  6 Ge 2.69-2.78, 2 Cu 2.93, 2 Tl 3.01
Cu3 0.6477 0.1477 0.0000  6 Ge 2.69-2.78, 2 Cu 2.93, 2 Tl 3.01
Cu4 0.8523 0.6477 0.0000  6 Ge 2.69-2.78, 2 Cu 2.93, 2 Tl 3.01
Ge1 0.1397 0.6397 0.5000  6 Cu 2.69-2.78, 2 Ge 2.93
Ge2 0.3603 0.1397 0.5000  6 Cu 2.69-2.78, 2 Ge 2.93
Ge3 0.6397 0.8603 0.5000  6 Cu 2.69-2.78, 2 Ge 2.93
Ge4 0.8603 0.3603 0.5000  6 Cu 2.69-2.78, 2 Ge 2.93

Run d
A relaxed TlCu2Ge2 crystal. Source: the Alexandria database, functional PBE.

Values from the calculation:
**V**: 92 Å³ per cell

Cell: 6.5247 6.5247 6.5247 Å, 144.77 144.77 50.67°
Closest atoms and distances in Å follow each position.
Atoms (fractional coordinates):
Tl1 0.0000 0.0000 0.0000  8 Cu 3.07
Cu1 0.3917 0.3917 0.0000  1 Cu 2.56, 4 Ge 2.59
Cu2 0.6083 0.6083 0.0000  1 Cu 2.56, 4 Ge 2.59
Ge1 0.2500 0.7500 0.5000  4 Cu 2.59, 4 Ge 2.79
Ge2 0.7500 0.2500 0.5000  4 Cu 2.59, 4 Ge 2.79

Of them, run b has the lowest stability.

Run a
A relaxed VCu3Ge crystal. Source: the Alexandria database, functional PBE.

Values from the calculation:
**V**: 88 Å³ per cell

Cell: 4.4456 4.4456 4.4456 Å, 90.00 90.00 90.00°
Closest atoms and distances in Å follow each position.
Atoms (fractional coordinates):
V1 0.0000 0.0000 0.0000  12 Cu 3.14
Cu1 0.0000 0.5000 0.5000  2 Ge 2.22
Cu2 0.5000 0.0000 0.5000  2 Ge 2.22
Cu3 0.5000 0.5000 0.0000  2 Ge 2.22
Ge1 0.5000 0.5000 0.5000  6 Cu 2.22

Run b
A relaxed VCu3Ge crystal. Source: the Alexandria database, functional PBE.

Values from the calculation:
**V**: 96 Å³ per cell

Cell: 4.5814 4.5814 4.5814 Å, 90.00 90.00 90.00°
Closest atoms and distances in Å follow each position.
Atoms (fractional coordinates):
V1 0.0000 0.0000 0.0000  6 Cu 2.29
Cu1 0.0000 0.0000 0.5000  2 V 2.29
Cu2 0.0000 0.5000 0.0000  2 V 2.29
Cu3 0.5000 0.0000 0.0000  2 V 2.29
Ge1 0.5000 0.5000 0.5000  12 Cu 3.24

Of them, run b has the lowest stability.